(1)
This record from Alexandria describes a geometry-optimized YMoP structure. The functional is GGA-PBE.

Results
E	-24.18	eV/cell
ΔE_f	-0.491	eV/atom

abc: 4.1513 4.1513 3.9704
angles: 90.00 90.00 120.00
Positions (direct):
Mo (0.0000, 0.0000, 0.0000)
P (0.6667, 0.3333, 0.0000)
Y (0.3333, 0.6667, 0.5000)

=====

(2)
This record from Alexandria describes a geometry-optimized LiTm2PPb structure. The functional is GGA-PBE.

Results
E	-47.96	eV/cell
ΔE_f	-0.801	eV/atom

abc: 3.9997 7.5706 8.1983
angles: 107.57 90.00 90.00
Positions (direct):
Tm (0.2500, 0.2344, 0.9840)
Tm (0.7500, 0.8793, 0.6127)
Pb (0.2500, 0.6812, 0.2941)
Li (0.2500, 0.5481, 0.6428)
P (0.7500, 0.1450, 0.1730)
P (0.2500, 0.8550, 0.8270)
Li (0.7500, 0.4519, 0.3572)
Tm (0.7500, 0.7656, 0.0160)
Pb (0.7500, 0.3188, 0.7059)
Tm (0.2500, 0.1207, 0.3873)

=====

(3)
This record from Alexandria describes a geometry-optimized Cd2Au13 structure. The functional is GGA-PBE.

Results
E	-44.89	eV/cell
ΔE_f	-0.030	eV/atom

abc: 7.2181 7.3699 7.6304
angles: 124.01 61.02 118.32
Positions (direct):
Au (0.8870, 0.6726, 0.1641)
Au (0.1130, 0.3274, 0.8359)
Au (0.4335, 0.5690, 0.3963)
Au (0.7333, 0.0680, 0.4485)
Au (0.0000, 0.0000, 0.0000)
Au (0.9541, 0.5137, 0.7066)
Au (0.2667, 0.9320, 0.5515)
Au (0.5226, 0.7364, 0.0843)
Cd (0.8054, 0.8814, 0.6554)
Au (0.3369, 0.8014, 0.8752)
Cd (0.1946, 0.1186, 0.3446)
Au (0.4774, 0.2636, 0.9157)
Au (0.0459, 0.4863, 0.2934)
Au (0.6631, 0.1986, 0.1248)
Au (0.5665, 0.4310, 0.6037)